[1]
{
  "formula": "SrNi2Te2",
  "functional": "GGA-PBE",
  "state": "relaxed",
  "n_ef_per_ev_atom": 0.78,
  "relative_energy_kj_per_mol_atoms": 0.0,
  "formation_energy_uncorrected_ev_per_atom": -0.5833,
  "total_energy_ev_per_cell": -22.44,
  "lattice": [[-1.089, -4.057, 0.612], [3.670, -1.246, -1.732], [4.015, -2.525, 5.123]],
  "species": ["Te", "Te", "Ni", "Ni", "Sr"],
  "fractional_positions": [[0.361, 0.361, 0.278], [0.639, 0.639, 0.722], [0.250, 0.750, 0.500], [0.750, 0.250, 0.500], [0.000, 0.000, 0.000]]
}

[2]
{
  "formula": "K2HfCuPt",
  "functional": "GGA-PBE",
  "state": "relaxed",
  "n_ef_per_ev_atom": 1.34,
  "total_energy_ev_per_cell": -17.14,
  "lattice": [[6.910, 0.000, 0.000], [0.000, 4.832, 0.000], [0.000, 0.000, 6.910]],
  "species": ["Pt", "K", "K", "Cu", "Hf"],
  "fractional_positions": [[0.000, 0.500, 0.000], [0.000, 0.000, 0.500], [0.500, 0.000, 0.000], [0.500, 0.500, 0.500], [0.000, 0.000, 0.000]]
}

What did the first record say?
{
  "formula": "SrNi2Te2",
  "functional": "GGA-PBE",
  "state": "relaxed",
  "n_ef_per_ev_atom": 0.78,
  "relative_energy_kj_per_mol_atoms": 0.0,
  "formation_energy_uncorrected_ev_per_atom": -0.5833,
  "total_energy_ev_per_cell": -22.44,
  "lattice": [[-1.089, -4.057, 0.612], [3.670, -1.246, -1.732], [4.015, -2.525, 5.123]],
  "species": ["Te", "Te", "Ni", "Ni", "Sr"],
  "fractional_positions": [[0.361, 0.361, 0.278], [0.639, 0.639, 0.722], [0.250, 0.750, 0.500], [0.750, 0.250, 0.500], [0.000, 0.000, 0.000]]
}